The following is a DFT calculation (PBE-GGA) of crystalline Y2TlCo at its relaxed geometry. Values from VASP.

Geometry as Quantum ESPRESSO input:
```
&SYSTEM
  ibrav = 0, nat = 4, ntyp = 3
/
ATOMIC_SPECIES
Co 58.93 Co.upf
Tl 204.38 Tl.upf
Y 88.91 Y.upf
ATOMIC_POSITIONS angstrom
Co 0.0000 4.1750 2.4520
Tl 1.8777 4.1722 4.4018
Y 0.0000 6.3974 5.6206
Y 1.8777 1.9469 2.0481
CELL_PARAMETERS angstrom
3.7553 0.0000 0.0000
0.0000 4.4507 0.0030
0.0000 2.2259 5.8060
```

Computed properties:
The value obtained for the total energy is -5.761 eV/atom.


The following is a DFT calculation (PBE-GGA) of crystalline CeScCdOs at its relaxed geometry. Values from VASP.

Geometry as Quantum ESPRESSO input:
```
&SYSTEM
  ibrav = 0, nat = 4, ntyp = 4
/
ATOMIC_SPECIES
Ce 140.12 Ce.upf
Sc 44.96 Sc.upf
Cd 112.41 Cd.upf
Os 190.23 Os.upf
ATOMIC_POSITIONS angstrom
Ce 1.6229 1.6229 6.3664
Sc 1.6229 1.6229 2.9720
Cd 0.0000 0.0000 0.7702
Os 0.0000 0.0000 4.5083
CELL_PARAMETERS angstrom
3.2458 0.0000 0.0000
0.0000 3.2458 0.0000
0.0000 0.0000 8.1901
```

Computed properties:
For the energy above the most stable polymorph in this dataset, the calculation gives 0 meV/atom. The value obtained for the total energy is -6.442 eV/atom.


The following is a DFT calculation (PBE-GGA) of crystalline NdEuAsPd at its relaxed geometry. Values from VASP.

Geometry as Quantum ESPRESSO input:
```
&SYSTEM
  ibrav = 0, nat = 4, ntyp = 4
/
ATOMIC_SPECIES
Eu 151.96 Eu.upf
As 74.92 As.upf
Nd 144.24 Nd.upf
Pd 106.42 Pd.upf
ATOMIC_POSITIONS angstrom
Eu 7.7576 4.4789 3.1670
As 0.0000 0.0000 0.0000
Nd 2.5859 1.4930 1.0557
Pd 5.1717 2.9859 2.1114
CELL_PARAMETERS angstrom
5.1717 0.0000 0.0000
2.5859 4.4789 0.0000
2.5859 1.4930 4.2227
```

Computed properties:
The value obtained for the total energy is -7.128 eV/atom.


The following is a DFT calculation (PBE-GGA) of crystalline Pu2Ni7 at its relaxed geometry. Values from VASP.

Geometry as Quantum ESPRESSO input:
```
&SYSTEM
  ibrav = 0, nat = 18, ntyp = 2
/
ATOMIC_SPECIES
Pu 244.00 Pu.upf
Ni 58.69 Ni.upf
ATOMIC_POSITIONS angstrom
Pu 0.3358 0.1993 10.6049
Pu 6.7450 4.0031 3.7899
Pu 1.0464 0.6210 7.1342
Pu 6.0345 3.5814 7.2605
Ni 3.5404 2.1012 7.1974
Ni 1.9751 1.1722 2.5982
Ni 5.1058 3.0302 11.7966
Ni 2.7307 1.6206 11.1525
Ni 4.3502 2.5818 3.2422
Ni 2.4061 0.0000 0.4926
Ni 1.1526 2.1121 0.4926
Ni 3.5588 2.1121 0.9852
Ni 4.3167 2.5619 9.5350
Ni 3.1628 0.4475 9.0419
Ni 1.9080 2.5619 9.0419
Ni 2.7642 1.6405 4.8597
Ni 3.9181 3.7549 5.3529
Ni 5.1729 1.6405 5.3529
CELL_PARAMETERS angstrom
4.8123 0.0000 0.9852
2.3053 4.2242 0.9852
-0.0366 -0.0217 12.4243
```

Computed properties:
The value obtained for the total energy is -7.895 eV/atom.


The following is a DFT calculation (PBE-GGA) of crystalline K2Rb3Bi2 at its relaxed geometry. Values from VASP.

Geometry as Quantum ESPRESSO input:
```
&SYSTEM
  ibrav = 0, nat = 7, ntyp = 3
/
ATOMIC_SPECIES
K 39.10 K.upf
Rb 85.47 Rb.upf
Bi 208.98 Bi.upf
ATOMIC_POSITIONS angstrom
K -3.1691 0.4078 -2.1437
K -6.3814 1.5275 4.5675
Rb 0.0000 0.0000 0.0000
Rb -6.3369 1.1701 0.1265
Rb -3.2136 0.7652 2.2973
Bi -7.0933 -1.6518 2.7238
Bi -2.4573 3.5871 -0.3001
CELL_PARAMETERS angstrom
1.0884 6.0950 -0.4798
-3.6322 -2.8315 -4.1657
-7.0067 -1.3282 7.0693
```

Computed properties:
The value obtained for the total energy is -2.113 eV/atom.


The following is a DFT calculation (PBE-GGA) of crystalline La2HfTi2 at its relaxed geometry. Values from VASP.

Geometry as Quantum ESPRESSO input:
```
&SYSTEM
  ibrav = 0, nat = 10, ntyp = 3
/
ATOMIC_SPECIES
Ti 47.87 Ti.upf
Hf 178.49 Hf.upf
La 138.91 La.upf
ATOMIC_POSITIONS angstrom
Ti -7.4763 1.9495 -3.1183
Ti -8.5907 3.3543 1.4434
Ti -4.0931 2.0952 2.9299
Ti -2.9787 0.6904 -1.6318
Hf 0.0000 0.0000 0.0000
Hf -5.7847 2.0224 -0.0942
La -5.7112 -0.3956 -2.7397
La -9.2644 1.3317 -0.6093
La -6.9447 1.3641 3.2332
La -3.3915 -0.3631 1.1028
CELL_PARAMETERS angstrom
-5.4579 3.2365 5.9042
-6.1115 0.8082 -6.0926
-1.0865 -3.0761 0.6819
```

Computed properties:
The value obtained for the total energy is -6.666 eV/atom.


The following is a DFT calculation (PBE-GGA) of crystalline ZrTlNiW2 at its relaxed geometry. Values from VASP.

Geometry as Quantum ESPRESSO input:
```
&SYSTEM
  ibrav = 0, nat = 5, ntyp = 4
/
ATOMIC_SPECIES
Ni 58.69 Ni.upf
Tl 204.38 Tl.upf
Zr 91.22 Zr.upf
W 183.84 W.upf
ATOMIC_POSITIONS angstrom
Ni 0.0000 0.0000 0.0000
Tl 0.0247 -3.5164 -1.9614
Zr 0.3952 -0.3328 -2.3500
W 1.3963 -1.7408 0.4814
W -1.7668 -1.4428 -0.0928
CELL_PARAMETERS angstrom
-3.5336 -2.8855 -0.1856
0.7905 -0.6656 -4.7000
2.7926 -3.4816 0.9628
```

Computed properties:
The value obtained for the total energy is -7.495 eV/atom.


The following is a DFT calculation (PBE-GGA) of crystalline MgMo2Se at its relaxed geometry. Values from VASP.

Geometry as Quantum ESPRESSO input:
```
&SYSTEM
  ibrav = 0, nat = 4, ntyp = 3
/
ATOMIC_SPECIES
Mg 24.30 Mg.upf
Mo 95.94 Mo.upf
Se 78.96 Se.upf
ATOMIC_POSITIONS angstrom
Mg 0.9161 1.3655 6.6893
Mo 0.0000 0.0000 0.1705
Mo 0.9161 1.3655 2.1115
Se 0.0000 0.0000 4.2927
CELL_PARAMETERS angstrom
2.9531 -0.0011 0.0000
-1.1209 2.7321 0.0000
0.0000 0.0000 8.8427
```

Computed properties:
For the energy above the most stable polymorph in this dataset, the calculation gives 165 meV/atom. The formation energy from raw total energies is 0.192 eV per atom. The value obtained for the total energy is -6.493 eV/atom.


The following is a DFT calculation (PBE-GGA) of crystalline Cd2BiSb2 at its relaxed geometry. Values from VASP.

Geometry as Quantum ESPRESSO input:
```
&SYSTEM
  ibrav = 0, nat = 5, ntyp = 3
/
ATOMIC_SPECIES
Sb 121.76 Sb.upf
Bi 208.98 Bi.upf
Cd 112.41 Cd.upf
ATOMIC_POSITIONS angstrom
Sb 2.0160 -2.7851 0.2424
Sb 5.6476 -5.8752 2.7326
Bi 0.0000 0.0000 0.0000
Cd 2.7211 -5.0735 2.1849
Cd 4.9425 -3.5869 0.7900
CELL_PARAMETERS angstrom
-1.1743 -4.0889 0.2892
3.2687 -1.1156 -2.5006
5.5693 -3.4559 5.1863
```

Computed properties:
For the energy above the most stable polymorph in this dataset, the calculation gives 107 meV/atom. The formation energy from raw total energies is 0.148 eV per atom. The value obtained for the total energy is -2.643 eV/atom.


The following is a DFT calculation (PBE-GGA) of crystalline Nb3PbO9 at its relaxed geometry. Values from VASP.

Geometry as Quantum ESPRESSO input:
```
&SYSTEM
  ibrav = 0, nat = 26, ntyp = 3
/
ATOMIC_SPECIES
Nb 92.91 Nb.upf
Pb 207.20 Pb.upf
O 16.00 O.upf
ATOMIC_POSITIONS angstrom
Nb -5.2336 2.6309 6.0526
Nb -5.2116 -2.9584 -3.2032
Nb -6.6795 -1.0488 2.9669
Nb -8.1295 -4.7062 3.4950
Nb -6.2114 -5.7330 0.8532
Nb -4.8247 -2.2425 0.3502
Pb -3.0686 -0.3954 2.8408
Pb -8.4961 -2.8868 0.4529
O -6.0820 1.0378 5.8608
O -7.2943 -4.3749 5.2144
O -6.2034 -1.6433 4.7786
O -6.0579 -5.3134 2.8821
O -4.9212 -2.2675 2.4154
O -5.4484 0.4433 2.9244
O -4.4255 -6.2146 0.6219
O -3.3150 -3.3313 0.1723
O -3.8884 -0.5228 0.5431
O -7.7365 -2.9181 2.7745
O -7.2353 2.7263 2.7188
O -8.3159 -0.1728 3.1388
O -6.1656 -3.8553 0.3888
O -5.5525 1.8645 0.4454
O -6.7208 -1.1723 0.8934
O -4.4114 0.8680 -1.8619
O -5.4069 -1.9063 -1.4696
O -5.5887 -4.5993 -2.5251
CELL_PARAMETERS angstrom
-3.7962 0.8637 -3.8224
-2.7223 -7.1840 1.0804
-5.1171 2.8510 6.0639
```

Computed properties:
The formation energy from raw total energies is -2.213 eV per atom. The value obtained for the total energy is -8.255 eV/atom.


The following is a DFT calculation (PBE-GGA) of crystalline CuTeAs2 at its relaxed geometry. Values from VASP.

Geometry as Quantum ESPRESSO input:
```
&SYSTEM
  ibrav = 0, nat = 4, ntyp = 3
/
ATOMIC_SPECIES
As 74.92 As.upf
Cu 63.55 Cu.upf
Te 127.60 Te.upf
ATOMIC_POSITIONS angstrom
As -0.4478 0.5005 -0.2220
As -2.7523 1.3862 0.4714
Cu -2.7895 3.1182 -1.3829
Te 0.1704 3.0272 1.1812
CELL_PARAMETERS angstrom
-0.6148 5.5953 -1.0440
-5.3058 1.0230 -1.8913
3.0618 -1.8953 4.4506
```

Computed properties:
The formation energy from raw total energies is 0.344 eV per atom. The value obtained for the total energy is -3.790 eV/atom.